This record from Alexandria via LeMat-Bulk describes a relaxed TbY4Ho2Tm2 crystal. The functional is GGA-PBE.

Cell and atoms, written as POSCAR:
```
TbY4Ho2Tm2
1.0
9.2882 -1.7867 0.0000
9.2882 1.7867 0.0000
-4.1288 0.0000 8.5420
Tb Y Ho Tm
1 4 2 2
Direct
0.0000 0.0000 0.0000
0.1856 0.1856 0.3329
0.4815 0.4815 0.6654
0.5185 0.5185 0.3346
0.8144 0.8144 0.6671
0.1488 0.1488 0.6680
0.8512 0.8512 0.3320
0.3327 0.3327 0.0010
0.6673 0.6673 0.9990
```

Properties
Electronic total energy   -5.394 eV/atom
DOS at the Fermi energy   12.61 states/eV/f.u.